1.
A relaxed KCaYI6 crystal. Source: the Alexandria database, functional PBE-GGA.

E_tot (eV/f.u.): -32.3
Space-group type: P-31c, No. 163
D(E_F) (states/eV/cell): 0.00

abc: 7.9987 7.9987 15.4831
angles: 90.00 90.00 120.00
Closest atoms and distances in Å follow each position.
Positions (direct):
I  0.9904  0.3626  0.1352  1 Y 3.05, 1 Ca 3.15
I  0.0096  0.6374  0.8648  1 Y 3.05, 1 Ca 3.15
Y  0.6667  0.3333  0.2500  6 I 3.05
I  0.6279  0.9904  0.8648  1 Y 3.05, 1 Ca 3.15
K  0.0000  0.0000  0.0000  6 I 3.61
Y  0.3333  0.6667  0.7500  6 I 3.05
I  0.0096  0.3721  0.6352  1 Y 3.05, 1 Ca 3.15
I  0.6374  0.0096  0.3648  1 Y 3.05, 1 Ca 3.15
I  0.3721  0.0096  0.1352  1 Y 3.05, 1 Ca 3.15
I  0.6279  0.6374  0.6352  1 Y 3.05, 1 Ca 3.15
K  0.0000  0.0000  0.5000  6 I 3.61
I  0.9904  0.6279  0.3648  1 Y 3.05, 1 Ca 3.15
I  0.3626  0.9904  0.6352  1 Y 3.05, 1 Ca 3.15
Ca  0.3333  0.6667  0.2500  6 I 3.15
I  0.6374  0.6279  0.1352  1 Y 3.05, 1 Ca 3.15
I  0.3721  0.3626  0.3648  1 Y 3.05, 1 Ca 3.15
Ca  0.6667  0.3333  0.7500  6 I 3.15
I  0.3626  0.3721  0.8648  1 Y 3.05, 1 Ca 3.15

2.
A relaxed K2CaZnI6 crystal. Source: the Alexandria database, functional PBE-GGA.

E_tot (eV/f.u.): -26.4
Space-group type: P1, No. 1
D(E_F) (states/eV/cell): 0.00

abc: 8.3313 8.3233 8.3381
angles: 59.99 59.96 60.01
Closest atoms and distances in Å follow each position.
Positions (direct):
Zn  0.3189  0.3182  0.0454  6 I 2.86-2.96
I  0.1667  0.9985  0.2715  1 Zn 2.86, 1 Ca 3.18
I  0.4758  0.6453  0.7885  1 Zn 2.94, 1 Ca 3.13
I  0.9985  0.5627  0.2723  1 Zn 2.87, 1 Ca 3.18
Ca  0.8192  0.8187  0.5432  6 I 3.12-3.18
I  0.5633  0.1660  0.2723  1 Zn 2.87, 1 Ca 3.18
K  0.5419  0.5421  0.3740  6 I 3.53-3.68
I  0.0896  0.4767  0.7884  1 Zn 2.96, 1 Ca 3.12
I  0.6452  0.0903  0.7881  1 Zn 2.94, 1 Ca 3.12
K  0.0424  0.0430  0.8715  6 I 3.51-3.76

3.
A relaxed CaLaI3 crystal. Source: the Alexandria database, functional PBE-GGA.

E_tot (eV/f.u.): -15.9
Space-group type: Pm-3m, No. 221
D(E_F) (states/eV/cell): 4.74

abc: 6.2476 6.2476 6.2476
angles: 90.00 90.00 90.00
Closest atoms and distances in Å follow each position.
Positions (direct):
I  0.5000  0.0000  0.0000  2 La 3.12
I  0.0000  0.0000  0.5000  2 La 3.12
I  0.0000  0.5000  0.0000  2 La 3.12
Ca  0.5000  0.5000  0.5000  12 I 4.42
La  0.0000  0.0000  0.0000  6 I 3.12

4.
A relaxed CaLaI6 crystal. Source: the Alexandria database, functional PBE-GGA.

E_tot (eV/f.u.): -25.9
Space-group type: P-1, No. 2
D(E_F) (states/eV/cell): 14.94

abc: 7.8833 7.8698 8.1926
angles: 60.58 61.55 59.94
Closest atoms and distances in Å follow each position.
Positions (direct):
I  0.7485  0.0650  0.7563  1 Ca 3.15, 1 La 3.18
I  0.0693  0.4304  0.7458  1 Ca 3.15, 1 La 3.19
La  0.5000  0.5000  0.5000  6 I 3.18-3.19
I  0.2515  0.9350  0.2437  1 Ca 3.15, 1 La 3.18
Ca  0.0000  0.0000  0.0000  6 I 3.15-3.17
I  0.5755  0.2505  0.2466  1 Ca 3.17, 1 La 3.19
I  0.9307  0.5696  0.2542  1 Ca 3.15, 1 La 3.19
I  0.4245  0.7495  0.7534  1 Ca 3.17, 1 La 3.19

5.
A relaxed CaLaI4 crystal. Source: the Alexandria database, functional PBE-GGA.

E_tot (eV/f.u.): -21.9
Space-group type: Imma, No. 74
D(E_F) (states/eV/cell): 6.78

abc: 8.3093 9.3141 9.2246
angles: 120.32 116.77 90.00
Closest atoms and distances in Å follow each position.
Positions (direct):
I  0.7477  0.2397  0.9794  2 Ca 3.17, 1 La 3.26
I  0.2689  0.7505  0.5378  1 Ca 3.14, 2 La 3.26
I  0.7311  0.2495  0.4622  1 Ca 3.14, 2 La 3.26
I  0.2689  0.2872  0.5378  1 Ca 3.14, 2 La 3.26
I  0.2523  0.7603  0.0206  2 Ca 3.17, 1 La 3.26
I  0.7311  0.7128  0.4622  1 Ca 3.14, 2 La 3.26
Ca  0.5000  0.0000  0.0000  6 I 3.14-3.17
La  0.5000  0.0000  0.5000  6 I 3.26
La  0.0000  0.0000  0.5000  6 I 3.26
I  0.7683  0.7603  0.0206  2 Ca 3.17, 1 La 3.26
I  0.2317  0.2397  0.9794  2 Ca 3.17, 1 La 3.26
Ca  0.5000  0.5000  0.0000  6 I 3.14-3.17

6.
A relaxed Ca3LaI crystal. Source: the Alexandria database, functional PBE-GGA.

E_tot (eV/f.u.): -12.5
Space-group type: Pm-3m, No. 221
D(E_F) (states/eV/cell): 6.60

abc: 6.0127 6.0127 6.0127
angles: 90.00 90.00 90.00
Closest atoms and distances in Å follow each position.
Positions (direct):
I  0.0000  0.0000  0.0000  6 Ca 3.01
Ca  0.0000  0.5000  0.0000  2 I 3.01
Ca  0.5000  0.0000  0.0000  2 I 3.01
Ca  0.0000  0.0000  0.5000  2 I 3.01
La  0.5000  0.5000  0.5000  12 Ca 4.25

7.
A relaxed CaLaI4 crystal. Source: the Alexandria database, functional PBE-GGA.

E_tot (eV/f.u.): -21.9
Space-group type: P2/m, No. 10
D(E_F) (states/eV/cell): 3.64

abc: 4.2613 7.9765 8.0518
angles: 89.53 90.00 90.00
Closest atoms and distances in Å follow each position.
Positions (direct):
Ca  0.0000  0.0000  0.0000  6 I 3.14-3.16
I  0.0000  0.2435  0.6881  1 Ca 3.16, 2 La 3.26
La  0.5000  0.0000  0.5000  6 I 3.25-3.26
I  0.5000  0.2328  0.1668  2 Ca 3.14, 1 La 3.25
I  0.5000  0.7672  0.8332  2 Ca 3.14, 1 La 3.25
I  0.0000  0.7565  0.3119  1 Ca 3.16, 2 La 3.26

8.
A relaxed Ca3LaI crystal. Source: the Alexandria database, functional PBE-GGA.

E_tot (eV/f.u.): -9.4
Space-group type: Pm-3m, No. 221
D(E_F) (states/eV/cell): 3.16

abc: 6.5101 6.5101 6.5101
angles: 90.00 90.00 90.00
Closest atoms and distances in Å follow each position.
Positions (direct):
La  0.0000  0.0000  0.0000  6 Ca 3.26
Ca  0.5000  0.0000  0.0000  2 La 3.26
Ca  0.0000  0.0000  0.5000  2 La 3.26
I  0.5000  0.5000  0.5000  12 Ca 4.60
Ca  0.0000  0.5000  0.0000  2 La 3.26